Entry 1:
# Tb6Y3Tm2Th (GGA-PBE, relaxed)
data_Tb6Y3Tm2Th
_chemical_formula_sum 'Tb12 Y6 Tm4 Th2'
_cell_length_a 6.1556
_cell_length_b 10.6551
_cell_length_c 11.8060
_cell_angle_alpha 90.00
_cell_angle_beta 100.00
_cell_angle_gamma 90.00
_space_group_name_H-M_alt 'C 1 2/m 1'
_space_group_IT_number 12
loop_
_space_group_symop_operation_xyz
'x,y,z'
'-x,-y,-z'
'-x,y,-z'
'x,-y,z'
'x+1/2,y+1/2,z'
'-x+1/2,-y+1/2,-z'
'-x+1/2,y+1/2,-z'
'x+1/2,-y+1/2,z'
loop_
_atom_site_label
_atom_site_type_symbol
_atom_site_fract_x
_atom_site_fract_y
_atom_site_fract_z
_atom_site_occupancy
Tb1 Tb 0.2474 0.0000 0.2524 1
Tb2 Tb 0.2482 0.1652 0.7478 1
Y1 Y 0.0000 0.1673 0.0000 1
Y2 Y 0.0000 0.5000 0.0000 1
Tm1 Tm 0.0000 0.3333 0.5000 1
Th1 Th 0.0000 0.0000 0.5000 1
# energy of formation from the pure elements	0.03	eV per atom
# magnetization	0.00	μB per formula unit
# final energy	-126.46	eV per cell


Entry 2:
# Pu2ZnGa4 (GGA-PBE, relaxed)
data_Pu2ZnGa4
_chemical_formula_sum 'Pu4 Zn2 Ga8'
_cell_length_a 5.0588
_cell_length_b 16.0126
_cell_length_c 4.2670
_cell_angle_alpha 90.00
_cell_angle_beta 90.00
_cell_angle_gamma 90.00
_space_group_name_H-M_alt 'C m m m'
_space_group_IT_number 65
_space_group_name_Hall '-C 2 2'
loop_
_atom_site_label
_atom_site_type_symbol
_atom_site_fract_x
_atom_site_fract_y
_atom_site_fract_z
_atom_site_occupancy
Pu1 Pu 0.0000 0.1932 0.0000 1
Zn1 Zn 0.0000 0.5000 0.5000 1
Ga1 Ga 0.0000 0.3265 0.5000 1
Ga2 Ga 0.0000 0.4157 0.0000 1
# energy of formation from the pure elements	0.04	eV per atom
# magnetization	11.93	μB per formula unit
# final energy	-83.53	eV per cell


Entry 3:
# TaCd2SeCl (GGA-PBE, relaxed)
data_TaCd2SeCl
_chemical_formula_sum 'Ta1 Cd2 Se1 Cl1'
_cell_length_a 5.2952
_cell_length_b 5.2952
_cell_length_c 4.5105
_cell_angle_alpha 90.00
_cell_angle_beta 90.00
_cell_angle_gamma 90.00
_space_group_name_H-M_alt 'P 4/m m m'
_space_group_IT_number 123
_space_group_name_Hall '-P 4 2'
loop_
_atom_site_label
_atom_site_type_symbol
_atom_site_fract_x
_atom_site_fract_y
_atom_site_fract_z
_atom_site_occupancy
Ta1 Ta 0.0000 0.0000 0.0000 1
Cd1 Cd 0.0000 0.5000 0.5000 1
Se1 Se 0.5000 0.5000 0.0000 1
Cl1 Cl 0.0000 0.0000 0.5000 1
# magnetization	0.21	μB per formula unit
# formation energy (no corrections)	0.931	eV/atom
# final energy	-14.36	eV per cell


Entry 4:
# KCeIn4 (GGA-PBE, relaxed)
data_KCeIn4
_chemical_formula_sum 'K4 Ce4 In16'
_cell_length_a 8.8307
_cell_length_b 8.8307
_cell_length_c 8.8307
_cell_angle_alpha 90.00
_cell_angle_beta 90.00
_cell_angle_gamma 90.00
_space_group_name_H-M_alt 'F -4 3 m'
_space_group_IT_number 216
_space_group_name_Hall 'F -4 2 3'
loop_
_atom_site_label
_atom_site_type_symbol
_atom_site_fract_x
_atom_site_fract_y
_atom_site_fract_z
_atom_site_occupancy
K1 K 0.0000 0.0000 0.0000 1
Ce1 Ce 0.2500 0.2500 0.7500 1
In1 In 0.1246 0.1246 0.3754 1
# energy of formation from the pure elements	-0.15	eV per atom
# magnetization	1.38	μB per formula unit
# final energy	-75.52	eV per cell


Entry 5:
# NaCd6Pd2 (GGA-PBE, relaxed)
data_NaCd6Pd2
_chemical_formula_sum 'Na1 Cd6 Pd2'
_cell_length_a 4.7873
_cell_length_b 4.7873
_cell_length_c 8.8831
_cell_angle_alpha 90.00
_cell_angle_beta 90.00
_cell_angle_gamma 120.00
_space_group_name_H-M_alt 'P -3 m 1'
_space_group_IT_number 164
_space_group_name_Hall '-P 3 2"'
loop_
_atom_site_label
_atom_site_type_symbol
_atom_site_fract_x
_atom_site_fract_y
_atom_site_fract_z
_atom_site_occupancy
Na1 Na 0.0000 0.0000 0.0000 1
Cd1 Cd 0.0000 0.0000 0.3237 1
Cd2 Cd 0.3333 0.6667 0.5574 1
Cd3 Cd 0.3333 0.6667 0.8946 1
Pd1 Pd 0.3333 0.6667 0.2266 1
# energy of formation from the pure elements	-0.18	eV per atom
# magnetization	0.00	μB per formula unit
# final energy	-18.80	eV per cell
# energy relative to the lowest polymorph listed for this composition	13.8	meV per atom


Entry 6:
# NbCrAg2 (GGA-PBE, relaxed)
data_NbCrAg2
_chemical_formula_sum 'Nb4 Cr4 Ag8'
_cell_length_a 6.4395
_cell_length_b 6.4395
_cell_length_c 6.4395
_cell_angle_alpha 90.00
_cell_angle_beta 90.00
_cell_angle_gamma 90.00
_space_group_name_H-M_alt 'F m -3 m'
_space_group_IT_number 225
_space_group_name_Hall '-F 4 2 3'
loop_
_atom_site_label
_atom_site_type_symbol
_atom_site_fract_x
_atom_site_fract_y
_atom_site_fract_z
_atom_site_occupancy
Nb1 Nb 0.0000 0.0000 0.0000 1
Cr1 Cr 0.0000 0.0000 0.5000 1
Ag1 Ag 0.2500 0.2500 0.2500 1
# energy of formation from the pure elements	0.83	eV per atom
# magnetization	0.00	μB per formula unit
# final energy	-88.28	eV per cell
# energy relative to the lowest polymorph listed for this composition	0.0	meV per atom